Entry 1:
VASP calculation (PBE) on a relaxed structure of Nd6DyHo2Er3.

Unit cell a=6.255 b=10.832 c=11.801 alpha=90.00 beta=100.14 gamma=90.00
Space group C2/m (No. 12)
Unique sites:
Nd 0.249 0.167 0.249 x8
Nd 0.250 0.000 0.751 x4
Dy 0.000 0.500 0.500 x2
Ho 0.000 0.167 0.500 x4
Er 0.000 0.000 0.000 x2
Er 0.000 0.333 0.000 x4

Output
D(E_F): 12.84 states/eV/f.u.
calculated formation energy: 12 meV/atom
magnetic moment: 0.0 μB per formula unit
DFT total energy: -4.659 eV/atom

***

Entry 2:
VASP calculation (PBE) on a relaxed structure of Nd2DyHo2Er.

Unit cell a=7.006 b=5.644 c=9.777 alpha=90.00 beta=90.00 gamma=90.00
Space group Pmma (No. 51)
Unique sites:
Nd 0.000 0.000 0.000 x2
Nd 0.250 0.500 0.178 x2
Dy 0.250 0.000 0.659 x2
Ho 0.250 0.000 0.332 x2
Ho 0.250 0.500 0.836 x2
Er 0.000 0.500 0.500 x2

Output
D(E_F): 9.24 states/eV/f.u.
calculated formation energy: 66 meV/atom
magnetic moment: 0.0 μB per formula unit
DFT total energy: -4.576 eV/atom

***

Entry 3:
VASP calculation (PBE) on a relaxed structure of Nd2Dy2HoEr2.

Unit cell a=11.701 b=3.514 c=11.811 alpha=90.00 beta=109.32 gamma=90.00
Space group C2/m (No. 12)
Unique sites:
Nd 0.171 0.000 0.085 x4
Dy 0.050 0.000 0.768 x4
Ho 0.000 0.500 0.500 x2
Er 0.226 0.500 0.365 x4

Output
D(E_F): 11.34 states/eV/f.u.
calculated formation energy: 85 meV/atom
magnetic moment: 0.0 μB per formula unit
DFT total energy: -4.549 eV/atom

***

Entry 4:
VASP calculation (PBE) on a relaxed structure of NdDyHoEr.

Unit cell a=3.5827 b=3.5827 c=34.6136 alpha=90.00 beta=90.00 gamma=120.00
Space group R3m (No. 160, hexagonal axes)
Unique sites:
Nd 0.0000 0.0000 0.0000 x3
Dy 0.0000 0.0000 0.5806 x3
Ho 0.0000 0.0000 0.1651 x3
Er 0.0000 0.0000 0.7506 x3

Output
excess energy over the best structure of this formula in the dataset: 0 meV/atom
D(E_F): 5.65 states/eV/f.u.
calculated formation energy: 18 meV/atom
magnetic moment: 0.0 μB per formula unit
DFT total energy: -4.610 eV/atom

***

Entry 5:
VASP calculation (PBE) on a relaxed structure of NdDy2Ho6Er3.

Unit cell a=6.123 b=10.594 c=11.711 alpha=90.00 beta=99.98 gamma=90.00
Space group C2/m (No. 12)
Unique sites:
Nd 0.000 0.000 0.000 x2
Dy 0.000 0.333 0.000 x4
Ho 0.248 0.333 0.748 x8
Ho 0.249 0.000 0.748 x4
Er 0.000 0.167 0.500 x4
Er 0.000 0.500 0.500 x2

Output
D(E_F): 15.86 states/eV/f.u.
calculated formation energy: 19 meV/atom
magnetic moment: 0.0 μB per formula unit
DFT total energy: -4.575 eV/atom

***

Entry 6:
VASP calculation (PBE) on a relaxed structure of Nd6DyHo2Er.

Unit cell a=9.253 b=15.324 c=9.641 alpha=90.00 beta=97.43 gamma=90.00
Space group C2/c (No. 15)
Unique sites:
Nd 0.060 0.178 0.446 x8
Nd 0.099 0.391 0.618 x8
Nd 0.213 0.222 0.812 x8
Dy 0.000 0.027 0.750 x4
Ho 0.250 0.049 0.046 x8
Er 0.000 0.411 0.250 x4

Output
D(E_F): 14.31 states/eV/f.u.
calculated formation energy: 116 meV/atom
magnetic moment: 0.0 μB per formula unit
DFT total energy: -4.576 eV/atom

***

Entry 7:
VASP calculation (PBE) on a relaxed structure of Nd6Dy2HoEr3.

Unit cell a=6.256 b=10.833 c=11.807 alpha=90.00 beta=100.13 gamma=90.00
Space group C2/m (No. 12)
Unique sites:
Nd 0.249 0.000 0.249 x4
Nd 0.249 0.333 0.249 x8
Dy 0.000 0.333 0.500 x4
Ho 0.000 0.000 0.500 x2
Er 0.000 0.167 0.000 x4
Er 0.000 0.500 0.000 x2

Output
D(E_F): 12.98 states/eV/f.u.
calculated formation energy: 12 meV/atom
magnetic moment: 0.0 μB per formula unit
DFT total energy: -4.661 eV/atom

***

Entry 8:
VASP calculation (PBE) on a relaxed structure of NdDy2HoEr6.

Unit cell a=9.020 b=14.953 c=9.469 alpha=90.00 beta=97.04 gamma=90.00
Space group C2/c (No. 15)
Unique sites:
Nd 0.000 0.025 0.250 x4
Dy 0.249 0.447 0.454 x8
Ho 0.000 0.410 0.750 x4
Er 0.063 0.188 0.942 x8
Er 0.100 0.391 0.118 x8
Er 0.207 0.226 0.317 x8

Output
D(E_F): 14.44 states/eV/f.u.
calculated formation energy: 122 meV/atom
magnetic moment: 0.0 μB per formula unit
DFT total energy: -4.471 eV/atom

***

Entry 9:
VASP calculation (PBE) on a relaxed structure of NdDyHoEr.

Unit cell a=8.032 b=8.032 c=8.032 alpha=90.00 beta=90.00 gamma=90.00
Space group F-43m (No. 216)
Unique sites:
Nd 0.000 0.000 0.000 x4
Dy 0.000 0.000 0.500 x4
Ho 0.250 0.250 0.750 x4
Er 0.250 0.250 0.250 x4

Output
excess energy over the best structure of this formula in the dataset: 109 meV/atom
D(E_F): 7.83 states/eV/f.u.
calculated formation energy: 127 meV/atom
magnetic moment: 0.0 μB per formula unit
DFT total energy: -4.501 eV/atom

***

Entry 10:
VASP calculation (PBE) on a relaxed structure of Nd3Dy2Ho6Er.

Unit cell a=6.180 b=10.699 c=11.781 alpha=90.00 beta=100.04 gamma=90.00
Space group C2/m (No. 12)
Unique sites:
Nd 0.000 0.000 0.000 x2
Nd 0.000 0.333 0.000 x4
Dy 0.000 0.167 0.500 x4
Ho 0.249 0.000 0.746 x4
Ho 0.249 0.333 0.746 x8
Er 0.000 0.500 0.500 x2

Output
D(E_F): 15.58 states/eV/f.u.
calculated formation energy: 19 meV/atom
magnetic moment: 0.0 μB per formula unit
DFT total energy: -4.609 eV/atom

***

Entry 11:
VASP calculation (PBE) on a relaxed structure of Nd2DyHoEr.

Unit cell a=8.437 b=11.510 c=7.281 alpha=90.00 beta=90.00 gamma=90.00
Space group Cmcm (No. 63)
Unique sites:
Nd 0.194 0.000 0.000 x8
Dy 0.000 0.232 0.250 x4
Ho 0.000 0.223 0.750 x4
Er 0.000 0.493 0.750 x4

Output
D(E_F): 7.35 states/eV/f.u.
calculated formation energy: 421 meV/atom
magnetic moment: 0.0 μB per formula unit
DFT total energy: -4.234 eV/atom

***

Entry 12:
VASP calculation (PBE) on a relaxed structure of Nd2DyHo6Er.

Unit cell a=8.991 b=15.000 c=9.662 alpha=90.00 beta=98.99 gamma=90.00
Space group C2/c (No. 15)
Unique sites:
Nd 0.246 0.052 0.043 x8
Dy 0.000 0.018 0.750 x4
Ho 0.065 0.190 0.443 x8
Ho 0.102 0.395 0.619 x8
Ho 0.202 0.223 0.813 x8
Er 0.000 0.407 0.250 x4

Output
D(E_F): 13.42 states/eV/f.u.
calculated formation energy: 117 meV/atom
magnetic moment: 0.0 μB per formula unit
DFT total energy: -4.500 eV/atom

***

Entry 13:
VASP calculation (PBE) on a relaxed structure of Nd2Dy3HoEr6.

Unit cell a=6.144 b=10.633 c=11.721 alpha=90.00 beta=100.02 gamma=90.00
Space group C2/m (No. 12)
Unique sites:
Nd 0.000 0.167 0.000 x4
Dy 0.000 0.000 0.500 x2
Dy 0.000 0.333 0.500 x4
Ho 0.000 0.500 0.000 x2
Er 0.248 0.500 0.747 x4
Er 0.249 0.166 0.748 x8

Output
D(E_F): 15.33 states/eV/f.u.
calculated formation energy: 19 meV/atom
magnetic moment: 0.0 μB per formula unit
DFT total energy: -4.589 eV/atom

***

Entry 14:
VASP calculation (PBE) on a relaxed structure of NdDyHo2Er5.

Unit cell a=5.570 b=19.681 c=10.509 alpha=90.00 beta=90.00 gamma=90.00
Space group Cmc2_1 (No. 36)
Unique sites:
Nd 0.000 0.084 0.000 x4
Dy 0.000 0.300 0.560 x4
Ho 0.000 0.387 0.867 x4
Ho 0.000 0.389 0.283 x4
Er 0.000 0.021 0.284 x4
Er 0.000 0.112 0.570 x4
Er 0.000 0.201 0.258 x4
Er 0.000 0.219 0.860 x4
Er 0.000 0.482 0.573 x4

Output
D(E_F): 14.20 states/eV/f.u.
calculated formation energy: 162 meV/atom
magnetic moment: 0.0 μB per formula unit
DFT total energy: -4.431 eV/atom

***

Entry 15:
VASP calculation (PBE) on a relaxed structure of NdDy5HoEr2.

Unit cell a=5.594 b=19.792 c=10.518 alpha=90.00 beta=90.00 gamma=90.00
Space group Cmc2_1 (No. 36)
Unique sites:
Nd 0.000 0.084 0.000 x4
Dy 0.000 0.021 0.286 x4
Dy 0.000 0.113 0.571 x4
Dy 0.000 0.202 0.257 x4
Dy 0.000 0.219 0.861 x4
Dy 0.000 0.482 0.572 x4
Ho 0.000 0.301 0.560 x4
Er 0.000 0.386 0.867 x4
Er 0.000 0.389 0.284 x4

Output
D(E_F): 14.61 states/eV/f.u.
calculated formation energy: 161 meV/atom
magnetic moment: 0.0 μB per formula unit
DFT total energy: -4.448 eV/atom

***

Entry 16:
VASP calculation (PBE) on a relaxed structure of NdDy6Ho3Er2.

Unit cell a=6.135 b=10.615 c=11.744 alpha=90.00 beta=99.96 gamma=90.00
Space group C2/m (No. 12)
Unique sites:
Nd 0.000 0.000 0.000 x2
Dy 0.248 0.333 0.749 x8
Dy 0.250 0.000 0.749 x4
Ho 0.000 0.167 0.500 x4
Ho 0.000 0.500 0.500 x2
Er 0.000 0.333 0.000 x4

Output
D(E_F): 15.21 states/eV/f.u.
calculated formation energy: 18 meV/atom
magnetic moment: 0.0 μB per formula unit
DFT total energy: -4.586 eV/atom

***

Entry 17:
VASP calculation (PBE) on a relaxed structure of Nd4Dy2Ho2Er.

Unit cell a=15.277 b=5.085 c=8.032 alpha=90.00 beta=108.49 gamma=90.00
Space group C2/m (No. 12)
Unique sites:
Nd 0.054 0.000 0.331 x4
Nd 0.223 0.500 0.332 x4
Dy 0.111 0.500 0.670 x4
Ho 0.167 0.000 0.000 x4
Er 0.000 0.500 0.000 x2

Output
D(E_F): 13.53 states/eV/f.u.
calculated formation energy: 21 meV/atom
magnetic moment: 0.0 μB per formula unit
DFT total energy: -4.645 eV/atom

***

Entry 18:
VASP calculation (PBE) on a relaxed structure of Nd2DyHo2Er2.

Unit cell a=11.697 b=3.510 c=11.797 alpha=90.00 beta=109.17 gamma=90.00
Space group C2/m (No. 12)
Unique sites:
Nd 0.171 0.000 0.085 x4
Dy 0.000 0.500 0.500 x2
Ho 0.050 0.000 0.769 x4
Er 0.226 0.500 0.365 x4

Output
D(E_F): 11.46 states/eV/f.u.
calculated formation energy: 86 meV/atom
magnetic moment: 0.0 μB per formula unit
DFT total energy: -4.546 eV/atom

***

Entry 19:
VASP calculation (PBE) on a relaxed structure of Nd2Dy4Ho2Er.

Unit cell a=6.005 b=6.622 c=8.553 alpha=79.68 beta=70.32 gamma=65.27
Space group P-1 (No. 2)
Unique sites:
Nd 0.230 0.324 0.341 x2
Dy 0.114 0.125 0.764 x2
Dy 0.243 0.572 0.886 x2
Ho 0.323 0.770 0.444 x2
Er 0.500 0.000 0.000 x1

Output
D(E_F): 14.16 states/eV/f.u.
calculated formation energy: 88 meV/atom
magnetic moment: 0.0 μB per formula unit
DFT total energy: -4.541 eV/atom

***

Entry 20:
VASP calculation (PBE) on a relaxed structure of Nd6DyHo3Er2.

Unit cell a=6.257 b=10.835 c=11.810 alpha=90.00 beta=100.13 gamma=90.00
Space group C2/m (No. 12)
Unique sites:
Nd 0.250 0.000 0.250 x4
Nd 0.250 0.167 0.750 x8
Dy 0.000 0.000 0.500 x2
Ho 0.000 0.167 0.000 x4
Ho 0.000 0.500 0.000 x2
Er 0.000 0.333 0.500 x4

Output
D(E_F): 12.93 states/eV/f.u.
calculated formation energy: 12 meV/atom
magnetic moment: 0.0 μB per formula unit
DFT total energy: -4.660 eV/atom